# 1
Material: Tb3Nd3Sc2
Method: DFT, PBE
State: optimized geometry

Total moment, μB per atom: 0.00
DFT formation energy, eV/atom: 0.08

Cell: 5.5130 5.7059 8.9802 Å, 109.35 107.88 90.00°
Fractional positions:
Nd: 0.6405 0.0929 0.2811
Sc: 0.2498 0.3115 0.4996
Nd: 0.5000 0.5000 0.0000
Tb: 0.1391 0.6792 0.2782
Tb: 0.0000 0.0000 0.0000
Nd: 0.3595 0.9071 0.7189
Sc: 0.7502 0.6885 0.5004
Tb: 0.8609 0.3208 0.7218

***

# 2
Material: SrZn2Mo
Method: DFT, PBE
State: optimized geometry

Total moment, μB per atom: 0.68
DFT formation energy, eV/atom: 0.67

Cell: 4.8924 4.8924 9.8731 Å, 75.65 75.65 90.00°
Site moments in Bohr magnetons follow the coordinates.
Fractional positions:
Zn: 0.8686 0.1250 0.2500  -0.01
Sr: 0.5000 0.5000 0.0000  0.03
Zn: 0.3750 0.1314 0.7500  0.01
Mo: 0.0000 0.0000 0.0000  2.21
Sr: 0.2500 0.7500 0.5000  0.03
Zn: 0.8814 0.6250 0.2500  0.00
Zn: 0.8750 0.1186 0.7500  0.02
Mo: 0.7500 0.2500 0.5000  2.21

***

# 3
Material: IrRu2Rh
Method: DFT, PBE
State: optimized geometry

Total moment, μB per atom: 0.54
DFT formation energy, eV/atom: 0.53

Cell: 4.3592 4.3592 4.3592 Å, 60.00 60.00 60.00°
Site moments in Bohr magnetons follow the coordinates.
Fractional positions:
Rh: 0.0000 0.0000 0.0000  0.45
Ru: 0.2500 0.2500 0.2500  0.52
Ir: 0.5000 0.5000 0.5000  0.65
Ru: 0.7500 0.7500 0.7500  0.52

***

# 4
Material: Mg2SnRhPb
Method: DFT, PBE
State: optimized geometry

Total moment, μB per atom: 0.00
DFT formation energy, eV/atom: -0.14

Cell: 5.0267 5.0267 5.0334 Å, 90.00 90.00 90.00°
Fractional positions:
Mg: 0.5000 0.0000 0.0000
Rh: 0.0000 0.0000 0.0000
Mg: 0.0000 0.5000 0.0000
Pb: 0.5000 0.5000 0.5000
Sn: 0.0000 0.0000 0.5000

***

# 5
Material: URh2Au
Method: DFT, PBE
State: optimized geometry

Total moment, μB per atom: 0.28
DFT formation energy, eV/atom: -0.36

Cell: 3.4497 3.4497 6.0211 Å, 90.00 90.00 90.00°
Site moments in Bohr magnetons follow the coordinates.
Fractional positions:
Rh: 0.0000 0.0000 0.2382  -0.14
Au: 0.5000 0.5000 0.5000  0.01
U: 0.5000 0.5000 0.0000  1.30
Rh: 0.0000 0.0000 0.7618  -0.14

***

# 6
Material: AcNdNiRh
Method: DFT, PBE
State: optimized geometry

Total moment, μB per atom: 0.00
DFT formation energy, eV/atom: -0.49

Cell: 4.0456 4.2699 5.9716 Å, 90.00 109.80 90.00°
Fractional positions:
Ac: 0.8610 0.5000 0.7221
Ni: 0.5801 0.5000 0.1603
Rh: 0.4237 0.0000 0.8474
Nd: 0.1351 0.0000 0.2702

***

# 7
Material: CaInGaPd
Method: DFT, PBE
State: optimized geometry

Total moment, μB per atom: 0.00
DFT formation energy, eV/atom: -0.46

Cell: 4.8949 4.8949 4.8949 Å, 60.00 60.00 60.00°
Fractional positions:
Pd: 0.7500 0.7500 0.7500
Ca: 0.0000 0.0000 0.0000
In: 0.5000 0.5000 0.5000
Ga: 0.2500 0.2500 0.2500

***

# 8
Material: Er4Bi2Ru
Method: DFT, PBE
State: optimized geometry

Total moment, μB per atom: 0.00
DFT formation energy, eV/atom: -0.56

Cell: 4.3363 7.9145 12.0979 Å, 90.00 90.00 90.00°
Fractional positions:
Er: 0.0000 0.8703 0.3046
Er: 0.5000 0.2077 0.4421
Bi: 0.5000 0.0789 0.1710
Er: 0.0000 0.6297 0.8046
Ru: 0.0000 0.5000 0.0000
Er: 0.0000 0.1297 0.6954
Bi: 0.5000 0.5789 0.3290
Er: 0.5000 0.7077 0.0579
Er: 0.5000 0.2923 0.9421
Er: 0.5000 0.7923 0.5579
Bi: 0.5000 0.4211 0.6710
Ru: 0.0000 0.0000 0.5000
Er: 0.0000 0.3703 0.1954
Bi: 0.5000 0.9211 0.8290

***

# 9
Material: CsIr3F
Method: DFT, PBE
State: optimized geometry

Raw formation energy, meV per atom: 1784
Total moment, μB per atom: 0.96

Cell: 4.6592 4.6592 4.6592 Å, 90.00 90.00 90.00°
Site moments in Bohr magnetons follow the coordinates.
Fractional positions:
Ir: 0.0000 0.5000 0.0000  1.73
F: 0.0000 0.0000 0.0000  0.14
Ir: 0.0000 0.0000 0.5000  1.55
Cs: 0.5000 0.5000 0.5000  0.04
Ir: 0.5000 0.0000 0.0000  1.27

***

# 10
Material: La5Tl2Sb2
Method: DFT, PBE
State: optimized geometry

Raw formation energy, meV per atom: -737
Total moment, μB per atom: 0.00

Cell: 8.6385 8.5396 9.2581 Å, 117.46 90.00 90.00°
Fractional positions:
La: 0.1657 0.1925 0.7294
Tl: 0.0000 0.7938 0.5875
La: 0.0000 0.0000 0.0000
La: 0.8343 0.5369 0.7294
Tl: 0.5000 0.7062 0.4125
La: 0.5000 0.5000 0.0000
La: 0.6657 0.0369 0.7294
Sb: 0.6386 0.8642 0.0000
Sb: 0.1386 0.6358 0.0000
La: 0.1657 0.4631 0.2706
Sb: 0.8614 0.3642 0.0000
La: 0.8343 0.8075 0.2706
La: 0.3343 0.6925 0.7294
Sb: 0.3614 0.1358 0.0000
Tl: 0.5000 0.2938 0.5875
La: 0.6657 0.3075 0.2706
La: 0.3343 0.9631 0.2706
Tl: 0.0000 0.2062 0.4125

***

# 11
Material: Ag3PN
Method: DFT, PBE
State: optimized geometry

Raw formation energy, meV per atom: 891
Total moment, μB per atom: 0.00

Cell: 4.3677 4.3677 4.3677 Å, 90.00 90.00 90.00°
Fractional positions:
P: 0.5000 0.5000 0.5000
Ag: 0.5000 0.0000 0.0000
Ag: 0.0000 0.5000 0.0000
N: 0.0000 0.0000 0.0000
Ag: 0.0000 0.0000 0.5000

***

# 12
Material: Ni2Te6Rh
Method: DFT, PBE
State: optimized geometry

Raw formation energy, meV per atom: -288
Total moment, μB per atom: 0.00

Cell: 5.3044 6.8329 6.8329 Å, 120.00 90.00 90.00°
Fractional positions:
Te: 0.7450 0.6600 0.6600
Te: 0.7450 0.3400 0.0000
Te: 0.2550 0.6600 0.0000
Rh: 0.5000 0.0000 0.0000
Ni: 0.5000 0.6667 0.3333
Te: 0.7450 0.0000 0.3400
Te: 0.2550 0.3400 0.3400
Ni: 0.5000 0.3333 0.6667
Te: 0.2550 0.0000 0.6600

***

# 13
Material: ThZr2Zn9
Method: DFT, PBE
State: optimized geometry

Total moment, μB per atom: 0.10
DFT formation energy, eV/atom: -0.28

Cell: 5.3473 5.3473 8.9501 Å, 72.62 72.62 60.00°
Site moments in Bohr magnetons follow the coordinates.
Fractional positions:
Th: 0.0000 0.0000 0.0000  0.03
Zn: 0.6644 0.6644 0.0069  0.00
Zn: 0.0774 0.5904 0.7417  0.01
Zr: 0.1433 0.1433 0.5701  0.35
Zn: 0.3356 0.3356 0.9931  0.00
Zn: 0.4096 0.9226 0.2583  0.01
Zr: 0.8567 0.8567 0.4299  0.35
Zn: 0.5904 0.5904 0.7417  0.01
Zn: 0.4096 0.4096 0.2583  0.01
Zn: 0.5904 0.0774 0.7417  0.01
Zn: 0.5000 0.5000 0.5000  0.00
Zn: 0.9226 0.4096 0.2583  0.01

***

# 14
Material: Pm6Pr5Mg
Method: DFT, PBE
State: optimized geometry

Total moment, μB per atom: 0.00
DFT formation energy, eV/atom: 0.02

Cell: 6.3126 6.3137 12.0902 Å, 84.98 79.93 60.01°
Fractional positions:
Pm: 0.4125 0.6700 0.7526
Pr: 0.5000 0.0000 0.5000
Mg: 0.0000 0.0000 0.0000
Pr: 0.8330 0.3339 0.5000
Pm: 0.7526 0.0000 0.7513
Pm: 0.5875 0.3300 0.2474
Pm: 0.9176 0.6700 0.2474
Pm: 0.2474 0.0000 0.2487
Pr: 0.1670 0.6661 0.5000
Pr: 0.6674 0.6652 0.0000
Pr: 0.3326 0.3348 0.0000
Pm: 0.0824 0.3300 0.7526

***

# 15
Material: Fe5Hg3Cl12
Method: DFT, PBE
State: optimized geometry

Raw formation energy, meV per atom: -494
Total moment, μB per atom: 1.05

Cell: 13.9446 13.9446 13.9446 Å, 109.47 109.47 109.47°
Site moments in Bohr magnetons follow the coordinates.
Fractional positions:
Hg: 0.1250 0.2500 0.8750  0.05
Cl: 0.1849 0.1018 0.9970  0.16
Cl: 0.5030 0.3151 0.8982  0.16
Cl: 0.8122 0.3151 0.9170  0.16
Fe: 0.0000 0.5000 0.0000  3.53
Cl: 0.1849 0.0830 0.6878  0.16
Fe: 0.5000 0.5000 0.0000  3.53
Cl: 0.8151 0.8982 0.0030  0.16
Cl: 0.3982 0.3952 0.5830  0.16
Cl: 0.6849 0.1878 0.5830  0.16
Fe: 0.3750 0.1250 0.7500  3.53
Fe: 0.0000 0.5000 0.5000  3.53
Cl: 0.6849 0.4970 0.6018  0.16
Cl: 0.8122 0.4970 0.3952  0.16
Cl: 0.1878 0.6849 0.0830  0.16
Cl: 0.3952 0.3982 0.0830  0.16
Fe: 0.0000 0.0000 0.0000  3.53
Hg: 0.3750 0.7500 0.6250  0.05
Hg: 0.7500 0.3750 0.1250  0.05
Fe: 0.5000 0.0000 0.0000  3.53
Hg: 0.1250 0.8750 0.7500  0.05
Cl: 0.1048 0.6878 0.5030  0.16
Cl: 0.3151 0.5030 0.3982  0.16
Fe: 0.6250 0.8750 0.2500  3.53
Fe: 0.3750 0.2500 0.1250  3.53
Cl: 0.6878 0.5830 0.1849  0.16
Fe: 0.2500 0.3750 0.6250  3.53
Cl: 0.0030 0.3982 0.8151  0.16
Fe: 0.1250 0.3750 0.2500  3.53
Cl: 0.1018 0.9170 0.1048  0.16
Hg: 0.6250 0.3750 0.7500  0.05
Hg: 0.6250 0.2500 0.3750  0.05
Cl: 0.8952 0.5830 0.8982  0.16
Cl: 0.9170 0.8151 0.8122  0.16
Cl: 0.9970 0.3952 0.3122  0.16
Fe: 0.1250 0.7500 0.3750  3.53
Cl: 0.8982 0.0830 0.8952  0.16
Cl: 0.6048 0.6018 0.9170  0.16
Cl: 0.3151 0.8122 0.4170  0.16
Fe: 0.0000 0.0000 0.5000  3.53
Cl: 0.5030 0.1878 0.1048  0.16
Fe: 0.5000 0.0000 0.5000  3.53
Fe: 0.8750 0.6250 0.7500  3.53
Cl: 0.3122 0.8952 0.9970  0.16
Cl: 0.5830 0.6878 0.6849  0.16
Cl: 0.6018 0.6048 0.4170  0.16
Cl: 0.5830 0.8952 0.3982  0.16
Cl: 0.4170 0.3122 0.3151  0.16
Fe: 0.2500 0.8750 0.1250  3.53
Hg: 0.7500 0.8750 0.6250  0.05
Cl: 0.9970 0.6018 0.1849  0.16
Cl: 0.9170 0.1018 0.6048  0.16
Cl: 0.4970 0.6849 0.1018  0.16
Cl: 0.8151 0.9170 0.3122  0.16
Cl: 0.0830 0.1849 0.1878  0.16
Cl: 0.8982 0.8151 0.5030  0.16
Cl: 0.0030 0.6048 0.6878  0.16
Cl: 0.6018 0.9970 0.6849  0.16
Fe: 0.6250 0.7500 0.8750  3.53
Cl: 0.8952 0.3122 0.4970  0.16
Hg: 0.2500 0.1250 0.3750  0.05
Fe: 0.8750 0.2500 0.6250  3.53
Cl: 0.1878 0.5030 0.6048  0.16
Fe: 0.5000 0.5000 0.5000  3.53
Cl: 0.6048 0.0030 0.1878  0.16
Hg: 0.3750 0.6250 0.2500  0.05
Cl: 0.0830 0.8982 0.3952  0.16
Hg: 0.2500 0.6250 0.8750  0.05
Fe: 0.7500 0.1250 0.8750  3.53
Cl: 0.3982 0.0030 0.3151  0.16
Cl: 0.1018 0.1849 0.4970  0.16
Cl: 0.3122 0.4170 0.8151  0.16
Hg: 0.8750 0.1250 0.2500  0.05
Cl: 0.4970 0.8122 0.8952  0.16
Cl: 0.1048 0.4170 0.1018  0.16
Hg: 0.8750 0.7500 0.1250  0.05
Cl: 0.3952 0.9970 0.8122  0.16
Cl: 0.6878 0.1048 0.0030  0.16
Fe: 0.7500 0.6250 0.3750  3.53
Cl: 0.4170 0.1048 0.6018  0.16

***

# 16
Material: Ag3PtI4
Method: DFT, PBE
State: optimized geometry

Raw formation energy, meV per atom: -12
Total moment, μB per atom: 0.00

Cell: 6.4568 6.4568 8.0109 Å, 113.77 113.77 90.00°
Fractional positions:
Pt: 0.0000 0.0000 0.0000
Ag: 0.7500 0.2500 0.5000
I: 0.6408 0.1187 0.7595
Ag: 0.5000 0.5000 0.0000
I: 0.8813 0.8813 0.2405
I: 0.1187 0.6408 0.7595
I: 0.3592 0.3592 0.2405
Ag: 0.2500 0.7500 0.5000

***

# 17
Material: BaCd2PbAu4
Method: DFT, PBE
State: optimized geometry

Total moment, μB per atom: 0.00
DFT formation energy, eV/atom: -0.30

Cell: 4.7496 4.7496 10.8227 Å, 77.32 77.32 60.00°
Fractional positions:
Pb: 0.5000 0.5000 0.5000
Au: 0.1178 0.1178 0.6466
Au: 0.8822 0.8822 0.3534
Cd: 0.2457 0.2457 0.2628
Ba: 0.0000 0.0000 0.0000
Au: 0.3986 0.3986 0.8042
Cd: 0.7543 0.7543 0.7372
Au: 0.6014 0.6014 0.1958

***

# 18
Material: CaPdAu11
Method: DFT, PBE
State: optimized geometry

Total moment, μB per atom: 0.00
DFT formation energy, eV/atom: -0.19

Cell: 5.6234 7.2999 7.3012 Å, 81.08 67.35 66.27°
Fractional positions:
Au: 0.0000 0.5000 0.0000
Au: 0.3598 0.6496 0.6575
Au: 0.6402 0.3504 0.3425
Au: 0.7114 0.7846 0.7868
Au: 0.0173 0.6496 0.3425
Au: 0.5018 0.2154 0.7868
Pd: 0.5000 0.5000 0.0000
Au: 0.4982 0.7846 0.2132
Ca: 0.0000 0.0000 0.0000
Au: 0.0000 0.0000 0.5000
Au: 0.9827 0.3504 0.6575
Au: 0.2886 0.2154 0.2132
Au: 0.5000 0.0000 0.5000

***

# 19
Material: Ba4LaSi
Method: DFT, PBE
State: optimized geometry

Raw formation energy, meV per atom: 620
Total moment, μB per atom: 0.37

Cell: 7.2853 7.2853 7.2853 Å, 60.00 60.00 60.00°
Site moments in Bohr magnetons follow the coordinates.
Fractional positions:
Ba: 0.3737 0.3737 0.3737  0.11
La: 0.7500 0.7500 0.7500  0.42
Ba: 0.3737 0.3737 0.8790  0.11
Ba: 0.8790 0.3737 0.3737  0.11
Si: 0.0000 0.0000 0.0000  -0.03
Ba: 0.3737 0.8790 0.3737  0.11

***

# 20
Material: Ba2Pb3
Method: DFT, PBE
State: optimized geometry

Total moment, μB per atom: 0.00
DFT formation energy, eV/atom: -0.19

Cell: 5.7989 5.7989 7.3250 Å, 90.00 90.00 120.00°
Fractional positions:
Pb: 0.6667 0.3333 0.6501
Pb: 0.0000 0.0000 0.0000
Ba: 0.3333 0.6667 0.8186
Pb: 0.3333 0.6667 0.3499
Ba: 0.6667 0.3333 0.1814

***

# 21
Material: MgAlPb
Method: DFT, PBE
State: optimized geometry

Total moment, μB per atom: 0.00
DFT formation energy, eV/atom: 0.16

Cell: 4.8384 4.8384 4.8384 Å, 60.00 60.00 60.00°
Fractional positions:
Al: 0.7500 0.7500 0.7500
Pb: 0.5000 0.5000 0.5000
Mg: 0.0000 0.0000 0.0000